1.
## Cs2RbMgZn (GGA-PBE)

Data for Cs2RbMgZn after structural relaxation.

Computed properties:
DOS at the Fermi energy = 4.15 states/eV per cell
energy of formation = 0.178 eV per atom

a b c (Å): 7.528 7.528 5.493
angles (deg): 90.00 90.00 90.00
Element x y z (fractional)
Cs 0.000 0.500 0.000
Cs 0.500 0.000 0.000
Rb 0.000 0.000 0.500
Mg 0.500 0.500 0.500
Zn 0.500 0.500 0.000

=====

2.
## UTaNb2 (GGA-PBE)

Data for UTaNb2 after structural relaxation.

Computed properties:
polymorph energy (0 for the lowest one) = 206 meV/atom
DOS at the Fermi energy = 22.84 states/eV per cell
energy of formation = 0.317 eV per atom

a b c (Å): 2.898 2.898 32.162
angles (deg): 90.00 90.00 120.00
Element x y z (fractional)
U 0.000 0.000 0.000
U 0.333 0.667 0.667
U 0.667 0.333 0.333
Ta 0.000 0.000 0.500
Ta 0.333 0.667 0.167
Ta 0.667 0.333 0.833
Nb 0.000 0.000 0.247
Nb 0.000 0.000 0.753
Nb 0.333 0.667 0.420
Nb 0.333 0.667 0.913
Nb 0.667 0.333 0.087
Nb 0.667 0.333 0.580

=====

3.
## Hf2Si4Ni3 (GGA-PBE)

Data for Hf2Si4Ni3 after structural relaxation.

Computed properties:
E_form (uncorrected) = -0.750 eV per atom
DOS at the Fermi energy = 7.85 states/eV per cell

a b c (Å): 7.322 7.322 6.873
angles (deg): 90.00 90.00 138.47
Element x y z (fractional)
Hf 0.104 0.896 0.902
Hf 0.396 0.604 0.402
Hf 0.604 0.396 0.598
Hf 0.896 0.104 0.098
Si 0.181 0.819 0.523
Si 0.189 0.311 0.750
Si 0.311 0.189 0.250
Si 0.319 0.681 0.023
Si 0.681 0.319 0.977
Si 0.689 0.811 0.750
Si 0.811 0.689 0.250
Si 0.819 0.181 0.477
Ni 0.000 0.000 0.500
Ni 0.021 0.479 0.750
Ni 0.479 0.021 0.250
Ni 0.500 0.500 0.000
Ni 0.521 0.979 0.750
Ni 0.979 0.521 0.250